First-principles (SCAN) data for a PBEsol-optimized structure of LaIrW2, as listed in Alexandria.

* space-group type: No. 44
* E above lowest polymorph: 173 meV per atom
* volume: 74.2 Å³/cell
* DFT formation energy: 56 kJ per mole of atoms
* DFT total energy: -62.816 eV/atom
* magnetization: 0.00 μB per atom

Cell: 3.0404 5.1235 5.6181 Å, 117.13 105.70 90.00°
Positions (direct):
W 0.7456 0.2456 0.4912
La 0.2502 0.7502 0.5004
Ir 0.4752 0.4752 0.9504
W 0.0289 0.0289 0.0579